The following is a DFT calculation (PBE) of As2O3 after structural relaxation.

Computed properties:
* total moment: 0.00 μB per atom
* final energy: -29.98 eV per cell
* formation energy (no corrections): -1.16 eV/atom
* symmetry: R3m (160)
* V: 96.8 Å³ per cell

Geometry as extended XYZ:
```
5
Lattice="0.783 2.392 4.255 4.649 1.578 0.577 0.529 4.887 -0.525" Properties=species:S:1:pos:R:3 pbc="T T T"
As 3.331 4.949 2.407
O 3.432 4.485 0.634
As 5.318 7.901 3.842
O 3.560 3.236 3.025
O 1.498 4.892 2.474
```